(1)
{
  "formula": "Na7AsSe6",
  "functional": "PBE-GGA",
  "state": "relaxed",
  "formation_energy_uncorrected_kj_per_mol_atoms": -78,
  "energy_ev_per_cell": -92.15,
  "space_group": "Ibam, No. 72",
  "cell": [[6.8919, 0.0000, 2.5863], [3.2375, 10.6580, 1.8486], [-0.3038, 0.1846, 11.2856]],
  "species": ["As", "Na", "Se", "Se", "Na", "Na", "Se", "Na", "Na", "Se", "Se", "Se", "Na", "Na", "Se", "Na", "Na", "Na", "Se", "Se", "Na", "Na", "As", "Se", "Se", "Se", "Na", "Na"],
  "fractional_positions": [[0.7500, 0.2500, 0.2500], [0.2898, 0.9758, 0.0242], [0.4757, 0.2374, 0.4296], [0.3573, 0.7374, 0.9296], [0.5145, 0.3941, 0.8251], [0.0146, 0.3251, 0.8941], [0.4196, 0.1602, 0.8398], [0.7500, 0.7500, 0.7500], [0.2102, 0.4758, 0.5242], [0.9757, 0.9296, 0.7374], [0.6427, 0.2626, 0.0704], [0.0243, 0.0704, 0.2626], [0.4854, 0.6059, 0.1749], [0.7662, 0.8941, 0.3251], [0.8573, 0.4296, 0.2374], [0.2500, 0.2500, 0.2500], [0.2662, 0.8251, 0.3941], [0.7338, 0.1749, 0.6059], [0.5804, 0.8398, 0.1602], [0.9196, 0.3398, 0.6602], [0.9854, 0.6749, 0.1059], [0.2338, 0.1059, 0.6749], [0.2500, 0.7500, 0.7500], [0.5243, 0.7626, 0.5704], [0.0804, 0.6602, 0.3398], [0.1427, 0.5704, 0.7626], [0.7898, 0.5242, 0.4758], [0.7102, 0.0242, 0.9758]]
}

(2)
{
  "formula": "CoPOs2",
  "functional": "PBE-GGA",
  "state": "relaxed",
  "ef_ev_per_atom": -0.009,
  "energy_ev_per_cell": -35.01,
  "space_group": "Amm2, No. 38",
  "cell": [[3.6868, 0.0000, 0.0000], [0.0000, 2.7841, 0.0015], [0.0000, 1.3897, 5.0776]],
  "species": ["Os", "Co", "P", "Os"],
  "fractional_positions": [[0.0000, 0.0635, 0.9965], [0.5000, 0.7099, 0.7046], [0.0000, 0.2881, 0.5514], [0.5000, 0.4384, 0.2475]]
}

(3)
{
  "formula": "BePt",
  "functional": "PBE-GGA",
  "state": "relaxed",
  "ef_ev_per_atom": -0.553,
  "energy_ev_per_cell": -86.99,
  "space_group": "Pnma, No. 62",
  "cell": [[5.5500, 0.0000, 0.0000], [0.0000, 4.7433, 0.0000], [0.0000, 0.0000, 7.3554]],
  "species": ["Be", "Pt", "Be", "Be", "Pt", "Pt", "Be", "Pt", "Pt", "Be", "Be", "Pt", "Be", "Pt", "Be", "Pt"],
  "fractional_positions": [[0.6915, 0.5120, 0.9282], [0.6226, 0.7500, 0.1938], [0.1915, 0.5120, 0.5718], [0.6915, 0.9880, 0.9282], [0.8774, 0.2500, 0.6938], [0.0627, 0.7500, 0.8619], [0.3085, 0.0120, 0.0718], [0.9373, 0.2500, 0.1381], [0.5627, 0.7500, 0.6381], [0.1915, 0.9880, 0.5718], [0.8085, 0.0120, 0.4282], [0.1226, 0.7500, 0.3062], [0.8085, 0.4880, 0.4282], [0.3774, 0.2500, 0.8062], [0.3085, 0.4880, 0.0718], [0.4373, 0.2500, 0.3619]]
}

(4)
{
  "formula": "LiMgAgHg",
  "functional": "PBE-GGA",
  "state": "relaxed",
  "ef_ev_per_atom": -0.266,
  "energy_ev_per_cell": -7.72,
  "space_group": "F-43m, No. 216",
  "cell": [[-2.3964, 0.3557, -4.0383], [-1.6068, -3.8783, -2.1340], [-4.6219, -0.8989, -0.0823]],
  "species": ["Mg", "Li", "Hg", "Ag"],
  "fractional_positions": [[0.0000, 0.0000, 0.0000], [0.5000, 0.5000, 0.5000], [0.7500, 0.7500, 0.7500], [0.2500, 0.2500, 0.2500]]
}